# GGA+U Sb2MoO, optimized geometry
# M_tot: 16.56 μB/cell
# DOS(E_F): 7.78 states/eV/cell
# energy: -4.732 eV/atom
data_Sb2MoO
_chemical_formula_sum 'Sb8 Mo4 O4'
_space_group_name_H-M_alt 'I -4 2 d'
_space_group_IT_number 122
_space_group_name_Hall 'I -4 2bw'
_cell_length_a 5.444
_cell_length_b 5.444
_cell_length_c 13.840
_cell_angle_alpha 90.00
_cell_angle_beta 90.00
_cell_angle_gamma 90.00
loop_
_atom_site_label
_atom_site_type_symbol
_atom_site_fract_x
_atom_site_fract_y
_atom_site_fract_z
_atom_site_occupancy
Sb1 Sb 0.116 0.250 0.125 1
Mo1 Mo 0.000 0.000 0.500 1
O1 O 0.000 0.000 0.000 1